i) Compound: ErCO4
Source: Alexandria
Functional: PBEsol
Structure: optimized geometry

Results
Its density of states at the Fermi level is 28.61 states/eV/cell.

Lattice parameters (Å, degrees): 11.700 11.700 9.546 90.00 90.00 120.00
Fractional coordinates of all 108 atoms:
Er  0.216  0.437  0.246
Er  0.216  0.437  0.754
Er  0.221  0.784  0.246
Er  0.221  0.784  0.754
Er  0.228  0.116  0.244
Er  0.228  0.116  0.756
Er  0.551  0.446  0.259
Er  0.551  0.446  0.741
Er  0.554  0.105  0.259
Er  0.554  0.105  0.741
Er  0.563  0.779  0.246
Er  0.563  0.779  0.754
Er  0.884  0.112  0.244
Er  0.884  0.112  0.756
Er  0.888  0.772  0.244
Er  0.888  0.772  0.756
Er  0.895  0.449  0.259
Er  0.895  0.449  0.741
C  0.023  0.195  0.500
C  0.093  0.207  0.000
C  0.114  0.907  0.000
C  0.128  0.555  0.000
C  0.137  0.498  0.500
C  0.171  0.977  0.500
C  0.361  0.863  0.500
C  0.427  0.872  0.000
C  0.445  0.573  0.000
C  0.461  0.240  0.500
C  0.468  0.311  0.000
C  0.502  0.639  0.500
C  0.689  0.157  0.000
C  0.760  0.221  0.500
C  0.779  0.539  0.500
C  0.793  0.886  0.000
C  0.805  0.829  0.500
C  0.843  0.532  0.000
O  0.000  0.000  0.248
O  0.000  0.000  0.752
O  0.004  0.670  0.305
O  0.004  0.670  0.695
O  0.076  0.245  0.381
O  0.076  0.245  0.619
O  0.084  0.843  0.117
O  0.084  0.843  0.883
O  0.085  0.499  0.382
O  0.085  0.499  0.618
O  0.099  0.590  0.117
O  0.099  0.590  0.883
O  0.157  0.240  0.117
O  0.157  0.240  0.883
O  0.169  0.924  0.381
O  0.169  0.924  0.619
O  0.175  0.033  0.000
O  0.182  0.092  0.500
O  0.185  0.486  0.000
O  0.243  0.491  0.500
O  0.248  0.757  0.500
O  0.301  0.815  0.000
O  0.330  0.334  0.305
O  0.330  0.334  0.695
O  0.333  0.667  0.254
O  0.333  0.667  0.746
O  0.338  0.006  0.193
O  0.338  0.006  0.807
O  0.410  0.510  0.117
O  0.410  0.510  0.883
O  0.414  0.915  0.382
O  0.414  0.915  0.618
O  0.417  0.257  0.118
O  0.417  0.257  0.882
O  0.430  0.177  0.382
O  0.430  0.177  0.618
O  0.490  0.901  0.117
O  0.490  0.901  0.883
O  0.501  0.586  0.382
O  0.501  0.586  0.618
O  0.509  0.752  0.500
O  0.514  0.699  0.000
O  0.523  0.366  0.500
O  0.574  0.425  0.000
O  0.575  0.148  0.000
O  0.634  0.157  0.500
O  0.666  0.996  0.305
O  0.666  0.996  0.695
O  0.667  0.333  0.248
O  0.667  0.333  0.752
O  0.668  0.662  0.193
O  0.668  0.662  0.807
O  0.743  0.159  0.118
O  0.743  0.159  0.882
O  0.747  0.570  0.382
O  0.747  0.570  0.618
O  0.755  0.831  0.381
O  0.755  0.831  0.619
O  0.760  0.916  0.117
O  0.760  0.916  0.883
O  0.823  0.253  0.382
O  0.823  0.253  0.618
O  0.841  0.583  0.118
O  0.841  0.583  0.882
O  0.843  0.477  0.500
O  0.852  0.426  0.000
O  0.858  0.825  0.000
O  0.908  0.090  0.500
O  0.910  0.818  0.500
O  0.967  0.142  0.000
O  0.994  0.332  0.193
O  0.994  0.332  0.807

---

ii) Compound: ErCO4
Source: Alexandria
Functional: PBEsol
Structure: optimized geometry

Lattice parameters (Å, degrees): 4.703 7.062 8.720 90.00 90.00 90.00
Fractional coordinates of all 24 atoms:
Er  0.035  0.142  0.169
Er  0.465  0.858  0.669
Er  0.535  0.358  0.831
Er  0.965  0.642  0.331
C  0.017  0.036  0.839
C  0.483  0.964  0.339
C  0.517  0.464  0.161
C  0.983  0.536  0.661
O  0.027  0.834  0.142
O  0.047  0.426  0.771
O  0.166  0.620  0.574
O  0.214  0.937  0.370
O  0.286  0.063  0.870
O  0.334  0.380  0.074
O  0.453  0.574  0.271
O  0.473  0.166  0.642
O  0.527  0.666  0.858
O  0.547  0.074  0.229
O  0.666  0.880  0.426
O  0.714  0.563  0.630
O  0.786  0.437  0.130
O  0.834  0.120  0.926
O  0.953  0.926  0.729
O  0.973  0.334  0.358

---

Q: Which of them is the most stable? A: i).

---

i) Compound: GaCF2
Source: Alexandria
Functional: PBEsol
Structure: optimized geometry

Results
Its density of states at the Fermi level is 3.93 states/eV/cell.

Lattice parameters (Å, degrees): 2.631 2.631 21.404 90.00 90.00 120.00
Fractional coordinates of all 12 atoms:
Ga  0.000  0.000  0.000
Ga  0.333  0.667  0.667
Ga  0.667  0.333  0.333
C  0.000  0.000  0.500
C  0.333  0.667  0.167
C  0.667  0.333  0.833
F  0.000  0.000  0.418
F  0.000  0.000  0.582
F  0.333  0.667  0.085
F  0.333  0.667  0.249
F  0.667  0.333  0.751
F  0.667  0.333  0.915

---

ii) Compound: GaCF2
Source: Alexandria
Functional: PBEsol
Structure: optimized geometry

Results
Its density of states at the Fermi level is 6.67 states/eV/cell.

Lattice parameters (Å, degrees): 7.547 7.547 3.896 90.00 90.00 90.00
Fractional coordinates of all 16 atoms:
Ga  0.000  0.000  0.000
Ga  0.000  0.500  0.250
Ga  0.500  0.000  0.750
Ga  0.500  0.500  0.500
C  0.000  0.000  0.500
C  0.000  0.500  0.750
C  0.500  0.000  0.250
C  0.500  0.500  0.000
F  0.079  0.250  0.125
F  0.250  0.579  0.375
F  0.250  0.921  0.875
F  0.421  0.250  0.625
F  0.579  0.750  0.625
F  0.750  0.079  0.875
F  0.750  0.421  0.375
F  0.921  0.750  0.125

---

Q: Which of them is the most stable? A: ii).

---

i) Compound: La2C2F
Source: Alexandria
Functional: PBEsol
Structure: optimized geometry

Results
Its density of states at the Fermi level is 5.16 states/eV/cell.

Lattice parameters (Å, degrees): 6.942 6.942 3.465 90.00 90.00 90.00
Fractional coordinates of all 10 atoms:
La  0.199  0.301  0.000
La  0.301  0.801  0.000
La  0.699  0.199  0.000
La  0.801  0.699  0.000
C  0.071  0.571  0.500
C  0.429  0.071  0.500
C  0.571  0.929  0.500
C  0.929  0.429  0.500
F  0.000  0.000  0.000
F  0.500  0.500  0.000

---

ii) Compound: La2C2F
Source: Alexandria
Functional: PBEsol
Structure: optimized geometry

Results
Its density of states at the Fermi level is 3.01 states/eV/cell.

Lattice parameters (Å, degrees): 3.723 3.723 13.223 90.00 90.00 90.00
Fractional coordinates of all 10 atoms:
La  0.000  0.000  0.136
La  0.000  0.000  0.864
La  0.500  0.500  0.364
La  0.500  0.500  0.636
C  0.000  0.500  0.250
C  0.000  0.500  0.750
C  0.500  0.000  0.250
C  0.500  0.000  0.750
F  0.000  0.000  0.500
F  0.500  0.500  0.000

---

Q: Which of them is the most stable? A: i).

---

i) Compound: LiCN2F
Source: Alexandria
Functional: PBEsol
Structure: optimized geometry

Results
Its density of states at the Fermi level is 0.97 states/eV/cell.

Lattice parameters (Å, degrees): 2.886 2.886 6.031 90.00 90.00 90.00
Fractional coordinates of all 5 atoms:
Li  0.000  0.000  0.000
C  0.500  0.500  0.500
N  0.000  0.500  0.500
N  0.500  0.000  0.500
F  0.500  0.500  0.000

---

ii) Compound: LiCN2F
Source: Alexandria
Functional: PBEsol
Structure: optimized geometry

Results
Its density of states at the Fermi level is 2.00 states/eV/cell.

Lattice parameters (Å, degrees): 3.982 3.982 3.227 90.00 90.00 90.00
Fractional coordinates of all 5 atoms:
Li  0.000  0.000  0.000
C  0.500  0.500  0.500
N  0.000  0.500  0.000
N  0.500  0.000  0.000
F  0.000  0.000  0.500

---

Q: Which of them is the most stable? A: i).

---

i) Compound: ScCNF2
Source: Alexandria
Functional: PBEsol
Structure: optimized geometry

Results
Its density of states at the Fermi level is 1.96 states/eV/cell.

Lattice parameters (Å, degrees): 4.476 4.476 2.504 90.00 90.00 90.00
Fractional coordinates of all 5 atoms:
Sc  0.000  0.000  0.000
C  0.500  0.500  0.500
N  0.500  0.500  0.000
F  0.000  0.500  0.500
F  0.500  0.000  0.500

---

ii) Compound: ScCNF2
Source: Alexandria
Functional: PBEsol
Structure: optimized geometry

Results
Its density of states at the Fermi level is 3.68 states/eV/cell.

Lattice parameters (Å, degrees): 3.907 3.907 4.440 90.00 90.00 90.00
Fractional coordinates of all 5 atoms:
Sc  0.000  0.000  0.000
C  0.500  0.500  0.500
N  0.000  0.000  0.500
F  0.000  0.500  0.000
F  0.500  0.000  0.000

---

Q: Which of them is the most stable? A: i).

---

i) Compound: PCF2
Source: Alexandria
Functional: PBEsol
Structure: optimized geometry

Results
Its density of states at the Fermi level is 1.62 states/eV/cell.

Lattice parameters (Å, degrees): 5.504 5.504 5.504 60.00 60.00 60.00
Fractional coordinates of all 8 atoms:
P  0.125  0.125  0.125
P  0.875  0.875  0.875
C  0.375  0.375  0.375
C  0.625  0.625  0.625
F  0.000  0.500  0.500
F  0.500  0.000  0.500
F  0.500  0.500  0.000
F  0.500  0.500  0.500

---

ii) Compound: PCF2
Source: Alexandria
Functional: PBEsol
Structure: optimized geometry

Results
Its density of states at the Fermi level is 2.46 states/eV/cell.

Lattice parameters (Å, degrees): 2.413 2.413 28.199 90.00 90.00 120.00
Fractional coordinates of all 12 atoms:
P  0.000  0.000  0.000
P  0.333  0.667  0.667
P  0.667  0.333  0.333
C  0.000  0.000  0.500
C  0.333  0.667  0.167
C  0.667  0.333  0.833
F  0.000  0.000  0.057
F  0.000  0.000  0.943
F  0.333  0.667  0.609
F  0.333  0.667  0.724
F  0.667  0.333  0.276
F  0.667  0.333  0.391

---

Q: Which of them is the most stable? A: ii).

---

i) Compound: FeC2
Source: Alexandria
Functional: PBEsol
Structure: optimized geometry

Results
Its density of states at the Fermi level is 3.59 states/eV/cell.

Lattice parameters (Å, degrees): 4.019 4.019 4.019 60.00 60.00 60.00
Fractional coordinates of all 6 atoms:
Fe  0.125  0.125  0.125
Fe  0.875  0.875  0.875
C  0.000  0.500  0.500
C  0.500  0.000  0.500
C  0.500  0.500  0.000
C  0.500  0.500  0.500

---

ii) Compound: FeC2
Source: Alexandria
Functional: PBEsol
Structure: optimized geometry

Results
Its density of states at the Fermi level is 6.18 states/eV/cell.

Lattice parameters (Å, degrees): 3.268 3.268 7.891 90.00 90.00 90.00
Fractional coordinates of all 12 atoms:
Fe  0.000  0.250  0.375
Fe  0.000  0.750  0.625
Fe  0.500  0.250  0.125
Fe  0.500  0.750  0.875
C  0.000  0.250  0.782
C  0.000  0.250  0.968
C  0.000  0.750  0.032
C  0.000  0.750  0.218
C  0.500  0.250  0.532
C  0.500  0.250  0.718
C  0.500  0.750  0.282
C  0.500  0.750  0.468

---

Q: Which of them is the most stable? A: ii).

---

i) Compound: FeC3
Source: Alexandria
Functional: PBEsol
Structure: optimized geometry

Results
Its density of states at the Fermi level is 6.78 states/eV/cell.

Lattice parameters (Å, degrees): 4.182 12.129 2.528 90.00 90.00 90.00
Fractional coordinates of all 16 atoms:
Fe  0.000  0.079  0.250
Fe  0.000  0.921  0.750
Fe  0.500  0.421  0.750
Fe  0.500  0.579  0.250
C  0.000  0.476  0.750
C  0.000  0.524  0.250
C  0.168  0.240  0.250
C  0.168  0.760  0.750
C  0.332  0.260  0.750
C  0.332  0.740  0.250
C  0.500  0.024  0.250
C  0.500  0.976  0.750
C  0.668  0.260  0.750
C  0.668  0.740  0.250
C  0.832  0.240  0.250
C  0.832  0.760  0.750

---

ii) Compound: FeC3
Source: Alexandria
Functional: PBEsol
Structure: optimized geometry

Results
Its density of states at the Fermi level is 5.65 states/eV/cell.

Lattice parameters (Å, degrees): 3.800 3.800 3.800 90.00 90.00 90.00
Fractional coordinates of all 8 atoms:
Fe  0.000  0.000  0.000
Fe  0.500  0.500  0.500
C  0.000  0.250  0.500
C  0.000  0.750  0.500
C  0.250  0.500  0.000
C  0.500  0.000  0.250
C  0.500  0.000  0.750
C  0.750  0.500  0.000

---

iii) Compound: FeC3
Source: Alexandria
Functional: PBEsol
Structure: optimized geometry

Results
Its density of states at the Fermi level is 2.11 states/eV/cell.

Lattice parameters (Å, degrees): 3.365 3.365 2.510 90.00 90.00 90.00
Fractional coordinates of all 4 atoms:
Fe  0.000  0.000  0.000
C  0.000  0.500  0.500
C  0.500  0.000  0.500
C  0.500  0.500  0.000

---

Q: Which of them is the most stable? A: i).

---

i) Compound: Na2FePCO7
Source: Alexandria
Functional: PBEsol
Structure: optimized geometry

Lattice parameters (Å, degrees): 5.240 6.495 8.801 85.78 89.30 89.22
Fractional coordinates of all 24 atoms:
Na  0.232  0.281  0.418
Na  0.247  0.001  0.761
Na  0.753  0.999  0.239
Na  0.768  0.719  0.582
Fe  0.223  0.728  0.155
Fe  0.777  0.272  0.845
P  0.280  0.237  0.074
P  0.720  0.763  0.926
C  0.284  0.756  0.435
C  0.716  0.244  0.565
O  0.058  0.729  0.378
O  0.116  0.242  0.930
O  0.213  0.052  0.187
O  0.237  0.430  0.164
O  0.317  0.797  0.571
O  0.435  0.779  0.975
O  0.474  0.735  0.339
O  0.526  0.265  0.661
O  0.565  0.221  0.025
O  0.683  0.203  0.429
O  0.763  0.570  0.836
O  0.787  0.948  0.813
O  0.884  0.758  0.070
O  0.942  0.271  0.622

---

ii) Compound: Na2FePCO7
Source: Alexandria
Functional: PBEsol
Structure: optimized geometry

Lattice parameters (Å, degrees): 5.256 6.483 8.847 90.00 91.87 90.00
Fractional coordinates of all 24 atoms:
Na  0.224  0.000  0.081
Na  0.254  0.259  0.729
Na  0.746  0.759  0.271
Na  0.776  0.500  0.919
Fe  0.218  0.473  0.346
Fe  0.782  0.973  0.654
P  0.275  0.983  0.424
P  0.725  0.483  0.576
C  0.293  0.486  0.069
C  0.707  0.986  0.931
O  0.064  0.488  0.123
O  0.114  0.995  0.566
O  0.207  0.796  0.323
O  0.228  0.173  0.322
O  0.331  0.466  0.929
O  0.439  0.471  0.525
O  0.478  0.501  0.170
O  0.522  0.001  0.830
O  0.561  0.971  0.475
O  0.669  0.966  0.071
O  0.772  0.673  0.678
O  0.793  0.296  0.677
O  0.886  0.495  0.434
O  0.936  0.988  0.877

---

Q: Which of them is the most stable? A: i).